ZnFeN2O (GGA+U, relaxed); final energy = -4.811 eV per atom; symmetry = P4/mmm
1.0
-1.790 2.229 -2.516
-2.626 0.851 2.623
2.088 2.954 1.132
Fe Zn N O
1 1 2 1
Cartesian
0.000 0.000 0.000
-1.165 3.017 0.619
-1.313 0.426 1.312
-0.895 1.114 -1.258
1.044 1.477 0.566